1.
First-principles (PBE) data for AlTlRe2 after structural relaxation, as listed in Alexandria.

- Fermi-level density of states (states/eV per atom) = 0.92
- offset from the most stable computed form (meV per atom) = 610.8
- M_tot (μB/atom) = 0.000
- total energy (eV/atom) = -6.934

Structure (CIF):
```
data_AlTlRe2
_chemical_formula_sum 'Al1 Tl1 Re2'
_cell_length_a 3.9651
_cell_length_b 3.9651
_cell_length_c 4.2241
_cell_angle_alpha 90.00
_cell_angle_beta 90.00
_cell_angle_gamma 90.00
_space_group_name_H-M_alt 'P 4/m m m'
_space_group_IT_number 123
_space_group_name_Hall '-P 4 2'
loop_
_atom_site_label
_atom_site_type_symbol
_atom_site_fract_x
_atom_site_fract_y
_atom_site_fract_z
_atom_site_occupancy
Al1 Al 0.0000 0.0000 0.0000 1
Tl1 Tl 0.5000 0.5000 0.0000 1
Re1 Re 0.0000 0.5000 0.5000 1
```

=====

2.
First-principles (PBE) data for AlTl2Re after structural relaxation, as listed in Alexandria.

- Fermi-level density of states (states/eV per atom) = 0.78
- offset from the most stable computed form (meV per atom) = 369.8
- M_tot (μB/atom) = 0.000
- total energy (eV/atom) = -4.412

Structure (CIF):
```
data_AlTl2Re
_chemical_formula_sum 'Al2 Tl4 Re2'
_cell_length_a 10.6125
_cell_length_b 3.0215
_cell_length_c 5.0615
_cell_angle_alpha 90.00
_cell_angle_beta 95.52
_cell_angle_gamma 90.00
_space_group_name_H-M_alt 'C 1 2/m 1'
_space_group_IT_number 12
loop_
_space_group_symop_operation_xyz
'x,y,z'
'-x,-y,-z'
'-x,y,-z'
'x,-y,z'
'x+1/2,y+1/2,z'
'-x+1/2,-y+1/2,-z'
'-x+1/2,y+1/2,-z'
'x+1/2,-y+1/2,z'
loop_
_atom_site_label
_atom_site_type_symbol
_atom_site_fract_x
_atom_site_fract_y
_atom_site_fract_z
_atom_site_occupancy
Al1 Al 0.0000 0.0000 0.0000 1
Tl1 Tl 0.2374 0.0000 0.7446 1
Re1 Re 0.0000 0.5000 0.5000 1
```

=====

3.
First-principles (PBE) data for AlTlRe2 after structural relaxation, as listed in Alexandria.

- Fermi-level density of states (states/eV per atom) = 0.54
- offset from the most stable computed form (meV per atom) = 560.8
- M_tot (μB/atom) = 0.000
- total energy (eV/atom) = -6.984

Structure (CIF):
```
data_AlTlRe2
_chemical_formula_sum 'Al4 Tl4 Re8'
_cell_length_a 4.0410
_cell_length_b 4.0410
_cell_length_c 18.9768
_cell_angle_alpha 90.00
_cell_angle_beta 90.00
_cell_angle_gamma 90.00
_space_group_name_H-M_alt 'I -4 2 d'
_space_group_IT_number 122
_space_group_name_Hall 'I -4 2bw'
loop_
_atom_site_label
_atom_site_type_symbol
_atom_site_fract_x
_atom_site_fract_y
_atom_site_fract_z
_atom_site_occupancy
Al1 Al 0.0000 0.0000 0.0000 1
Tl1 Tl 0.0000 0.0000 0.5000 1
Re1 Re 0.1671 0.2500 0.1250 1
```